Compound: VCuO2
Source: Alexandria
Functional: PBE with a Hubbard U
Structure: relaxed

Values from the calculation:
E (eV/atom): -5.96
Symmetry: R-3m (166)
Fermi-level density of states (states/eV per atom): 0.9052

Lattice parameters (Å, degrees): 6.044 6.044 6.044 30.68 30.68 30.68
Sites, in units of the cell vectors:
V  0.000  0.000  0.000
Cu  0.500  0.500  0.500
O  0.106  0.106  0.106
O  0.894  0.894  0.894